VASP calculation (PBE) on a relaxed structure of IrPd3Se.

space-group type: Pm-3m
excess energy over the best structure of this formula in the dataset: 0.328 eV per atom
spin magnetization: 0.89 μB/cell

a b c (Å): 4.831 4.831 4.831
angles (deg): 90.00 90.00 90.00
Positions (direct):
Ir: 0.000 0.000 0.000
Pd: 0.000 0.000 0.500
Pd: 0.000 0.500 0.000
Pd: 0.500 0.000 0.000
Se: 0.500 0.500 0.500

VASP calculation (PBE) on a relaxed structure of SiIrPdSe2.

space-group type: P4/mmm
final energy: -20.60 eV per cell
spin magnetization: 1.32 μB/cell

a b c (Å): 4.818 4.818 4.953
angles (deg): 90.00 90.00 90.00
Positions (direct):
Si: 0.000 0.000 0.000
Ir: 0.500 0.500 0.000
Pd: 0.500 0.500 0.500
Se: 0.000 0.500 0.500
Se: 0.500 0.000 0.500

VASP calculation (PBE) on a relaxed structure of Th8Ir3PdSe4.

space-group type: C2/m
final energy: -125.41 eV per cell
spin magnetization: 0.00 μB/cell

a b c (Å): 8.266 8.266 8.759
angles (deg): 118.15 118.15 60.01
Positions (direct):
Th: 0.234 0.745 0.723
Th: 0.240 0.240 0.720
Th: 0.255 0.766 0.277
Th: 0.256 0.256 0.277
Th: 0.744 0.744 0.723
Th: 0.745 0.234 0.723
Th: 0.760 0.760 0.280
Th: 0.766 0.255 0.277
Ir: 0.000 0.000 0.500
Ir: 0.000 0.500 0.500
Ir: 0.500 0.000 0.500
Pd: 0.500 0.500 0.500
Se: 0.000 0.000 0.000
Se: 0.000 0.500 0.000
Se: 0.500 0.000 0.000
Se: 0.500 0.500 0.000

VASP calculation (PBE) on a relaxed structure of Th4IrPdSe2.

space-group type: P2/m
final energy: -60.25 eV per cell
spin magnetization: 0.00 μB/cell

a b c (Å): 7.145 4.161 7.678
angles (deg): 90.00 108.00 90.00
Positions (direct):
Th: 0.236 0.000 0.225
Th: 0.247 0.500 0.770
Th: 0.753 0.500 0.230
Th: 0.764 0.000 0.775
Ir: 0.000 0.500 0.000
Pd: 0.500 0.000 0.000
Se: 0.000 0.000 0.500
Se: 0.500 0.500 0.500

VASP calculation (PBE) on a relaxed structure of Th6Ir2PdSe3.

space-group type: C2/m
final energy: -92.69 eV per cell
spin magnetization: 0.00 μB/cell

a b c (Å): 9.661 9.661 8.749
angles (deg): 107.42 107.42 24.81
Positions (direct):
Th: 0.008 0.008 0.245
Th: 0.326 0.326 0.434
Th: 0.337 0.337 0.899
Th: 0.663 0.663 0.101
Th: 0.674 0.674 0.566
Th: 0.992 0.992 0.755
Ir: 0.166 0.166 0.331
Ir: 0.834 0.834 0.669
Pd: 0.500 0.500 0.000
Se: 0.165 0.165 0.833
Se: 0.500 0.500 0.500
Se: 0.835 0.835 0.167

VASP calculation (PBE) on a relaxed structure of Tl2Ir2PdSe6.

space-group type: C2/m
final energy: -51.87 eV per cell
spin magnetization: 0.00 μB/cell

a b c (Å): 6.638 6.638 7.638
angles (deg): 98.60 98.60 120.10
Positions (direct):
Tl: 0.169 0.831 0.000
Tl: 0.831 0.169 0.000
Ir: 0.332 0.668 0.500
Ir: 0.668 0.332 0.500
Pd: 0.000 0.000 0.500
Se: 0.060 0.399 0.673
Se: 0.278 0.278 0.330
Se: 0.399 0.060 0.673
Se: 0.601 0.940 0.327
Se: 0.722 0.722 0.670
Se: 0.940 0.601 0.327

VASP calculation (PBE) on a relaxed structure of SiIr3Pd.

space-group type: Pm-3m
excess energy over the best structure of this formula in the dataset: 0.000 eV per atom
spin magnetization: 1.74 μB/cell

a b c (Å): 4.410 4.410 4.410
angles (deg): 90.00 90.00 90.00
Positions (direct):
Si: 0.000 0.000 0.000
Ir: 0.000 0.000 0.500
Ir: 0.000 0.500 0.000
Ir: 0.500 0.000 0.000
Pd: 0.500 0.500 0.500

VASP calculation (PBE) on a relaxed structure of Si2Ir2Pd.

space-group type: P4/mbm
excess energy over the best structure of this formula in the dataset: 0.000 eV per atom
spin magnetization: 0.00 μB/cell

a b c (Å): 7.069 7.069 2.801
angles (deg): 90.00 90.00 90.00
Positions (direct):
Si: 0.152 0.348 0.000
Si: 0.348 0.848 0.000
Si: 0.652 0.152 0.000
Si: 0.848 0.652 0.000
Ir: 0.144 0.644 0.500
Ir: 0.356 0.144 0.500
Ir: 0.644 0.856 0.500
Ir: 0.856 0.356 0.500
Pd: 0.000 0.000 0.000
Pd: 0.500 0.500 0.000